TlCuO2: relaxed, GGA-PBEsol. Values from VASP.

Summary:
Crystal system = hexagonal
Distance to the lowest polymorph of the same formula = 0.00 eV per formula unit
Formation energy (no corrections) = -54 kJ/mol of atoms
Symmetry = P6_3/mmc
VASP energy = -4.9226 eV per atom

Structure (Quantum ESPRESSO input):
```
&SYSTEM
  ibrav = 0, nat = 8, ntyp = 3
/
ATOMIC_SPECIES
Tl 204.38 Tl.upf
Cu 63.55 Cu.upf
O 16.00 O.upf
CELL_PARAMETERS angstrom
-3.1932 0.3719 1.3164
0.6303 -2.4741 -2.3557
2.6530 -7.4574 8.5421
ATOMIC_POSITIONS angstrom
Tl 1.3265 -3.7287 4.2710
Tl 0.0000 0.0000 0.0000
Cu 0.0711 -6.1698 6.4989
Cu 0.0191 -3.3898 1.0039
O -0.3383 -5.0190 5.1808
O -0.3903 -2.2390 -0.3143
O 0.4805 -7.3206 7.8171
O 0.4285 -4.5406 2.3220
```